Cr2TcHg: relaxed, PBE.

- DFT total energy: -6.977 eV/atom
- Calculated formation energy: 502 meV per atom
- Total magnetic moment: 1.2 Bohr magnetons per cell

Lattice parameters (Å, degrees): 9.5024 2.9485 4.5500 90.00 111.16 90.00
Space group Cm (No. 8)
One atom of each set of equivalent atoms:
Cr  0.0000  0.0000  0.0000 x2
Cr  0.2088  0.5000  0.2333 x2
Tc  0.4485  0.0000  0.4360 x2
Hg  0.2304  0.0000  0.7498 x2